Entry 1:
CsSe2Br2 | GGA-PBE | relaxed

a = 9.2594 Å, b = 9.2594 Å, c = 4.6292 Å
α = 90.00°, β = 90.00°, γ = 90.00°
Site moments in Bohr magnetons follow the coordinates.
Atoms (fractional coordinates):
1 Cs 0.0000 0.0000 0.0000  0.01
2 Cs 0.5000 0.5000 0.0000  0.01
3 Se 0.4169 0.9169 0.0000  0.28
4 Se 0.9169 0.5831 0.0000  0.28
5 Se 0.5831 0.0831 0.0000  0.28
6 Se 0.0831 0.4169 0.0000  0.28
7 Br 0.2595 0.7595 0.5000  0.01
8 Br 0.7595 0.7405 0.5000  0.01
9 Br 0.7405 0.2405 0.5000  0.01
10 Br 0.2405 0.2595 0.5000  0.01

Summary:
Density in g/cm³: 3.77
Raw formation energy in eV/atom: -0.5349
E above lowest polymorph in eV/atom: 0.037

Entry 2:
Cs12Se3Br5 | GGA-PBE | relaxed

a = 18.2903 Å, b = 18.2903 Å, c = 18.2903 Å
α = 109.47°, β = 109.47°, γ = 109.47°
Atoms (fractional coordinates):
1 Se 0.7500 0.3750 0.1250
2 Se 0.8750 0.7500 0.1250
3 Se 0.3750 0.7500 0.6250
4 Se 0.2500 0.1250 0.3750
5 Se 0.8750 0.1250 0.2500
6 Se 0.3750 0.6250 0.2500
7 Se 0.6250 0.3750 0.7500
8 Se 0.1250 0.8750 0.7500
9 Se 0.7500 0.8750 0.6250
10 Se 0.6250 0.2500 0.3750
11 Se 0.1250 0.2500 0.8750
12 Se 0.2500 0.6250 0.8750
13 Br 0.1250 0.3750 0.2500
14 Br 0.0000 0.5000 0.0000
15 Br 0.0000 0.0000 0.0000
16 Br 0.3750 0.2500 0.1250
17 Br 0.5000 0.0000 0.5000
18 Br 0.5000 0.5000 0.0000
19 Br 0.1250 0.7500 0.3750
20 Br 0.7500 0.1250 0.8750
21 Br 0.7500 0.6250 0.3750
22 Br 0.3750 0.1250 0.7500
23 Br 0.6250 0.8750 0.2500
24 Br 0.5000 0.5000 0.5000
25 Br 0.5000 0.0000 0.0000
26 Br 0.0000 0.0000 0.5000
27 Br 0.2500 0.3750 0.6250
28 Br 0.2500 0.8750 0.1250
29 Br 0.0000 0.5000 0.5000
30 Br 0.8750 0.2500 0.6250
31 Br 0.6250 0.7500 0.8750
32 Br 0.8750 0.6250 0.7500
33 Cs 0.7281 0.1389 0.0569
34 Cs 0.3288 0.5569 0.4180
35 Cs 0.9431 0.3611 0.2719
36 Cs 0.5569 0.2281 0.1389
37 Cs 0.5892 0.7281 0.6712
38 Cs 0.9431 0.5820 0.1712
39 Cs 0.3288 0.7719 0.4108
40 Cs 0.0820 0.9108 0.1389
41 Cs 0.5820 0.9431 0.6712
42 Cs 0.7281 0.5892 0.1712
43 Cs 0.7719 0.4431 0.3611
44 Cs 0.8288 0.9180 0.0569
45 Cs 0.1389 0.7281 0.5569
46 Cs 0.3611 0.4180 0.0892
47 Cs 0.0892 0.9180 0.3611
48 Cs 0.4108 0.1389 0.5820
49 Cs 0.0892 0.1712 0.2281
50 Cs 0.4431 0.6712 0.0820
51 Cs 0.8288 0.9108 0.2719
52 Cs 0.1389 0.4108 0.0820
53 Cs 0.3611 0.9431 0.7719
54 Cs 0.5820 0.6389 0.4108
55 Cs 0.9180 0.8288 0.5569
56 Cs 0.7719 0.3288 0.9108
57 Cs 0.4180 0.3611 0.5892
58 Cs 0.0820 0.1712 0.4431
59 Cs 0.2281 0.6712 0.0892
60 Cs 0.1712 0.0892 0.7281
61 Cs 0.6389 0.0569 0.2281
62 Cs 0.8611 0.5892 0.9180
63 Cs 0.5569 0.3288 0.9180
64 Cs 0.5892 0.8611 0.4180
65 Cs 0.9108 0.8288 0.7719
66 Cs 0.9108 0.0820 0.6389
67 Cs 0.8611 0.2719 0.4431
68 Cs 0.1712 0.0820 0.9431
69 Cs 0.6389 0.5820 0.9108
70 Cs 0.4180 0.0569 0.3288
71 Cs 0.2719 0.4108 0.8288
72 Cs 0.2281 0.5569 0.6389
73 Cs 0.9180 0.0892 0.8611
74 Cs 0.6712 0.2281 0.5892
75 Cs 0.4431 0.7719 0.8611
76 Cs 0.0569 0.4180 0.8288
77 Cs 0.4108 0.2719 0.3288
78 Cs 0.0569 0.6389 0.7281
79 Cs 0.6712 0.4431 0.5820
80 Cs 0.2719 0.8611 0.9431

Summary:
Density in g/cm³: 3.15
Raw formation energy in eV/atom: -1.2771

Entry 3:
CsSeBr2 | GGA-PBE | relaxed

a = 6.6165 Å, b = 6.6165 Å, c = 6.6165 Å
α = 47.53°, β = 47.53°, γ = 47.53°
Atoms (fractional coordinates):
1 Cs 0.0000 0.0000 0.0000
2 Se 0.5000 0.5000 0.5000
3 Br 0.7958 0.7958 0.7958
4 Br 0.2042 0.2042 0.2042

Summary:
Density in g/cm³: 4.28
Raw formation energy in eV/atom: -0.4317
E above lowest polymorph in eV/atom: 0.180

Entry 4:
CsSe2Br | GGA-PBE | relaxed

a = 5.8699 Å, b = 5.8699 Å, c = 5.8699 Å
α = 60.00°, β = 60.00°, γ = 60.00°
Site moments in Bohr magnetons follow the coordinates.
Atoms (fractional coordinates):
1 Cs 0.5000 0.5000 0.5000  0.05
2 Se 0.2500 0.2500 0.2500  0.99
3 Se 0.7500 0.7500 0.7500  0.99
4 Br 0.0000 0.0000 0.0000  0.55

Summary:
Density in g/cm³: 4.30
Raw formation energy in eV/atom: 0.1885
E above lowest polymorph in eV/atom: 1.023

Entry 5:
Cs12Se5Br3 | GGA-PBE | relaxed

a = 18.4187 Å, b = 18.4187 Å, c = 18.4187 Å
α = 109.47°, β = 109.47°, γ = 109.47°
Site moments in Bohr magnetons follow the coordinates.
Atoms (fractional coordinates):
1 Br 0.7500 0.3750 0.1250  0.00
2 Br 0.8750 0.7500 0.1250  0.00
3 Br 0.3750 0.7500 0.6250  0.00
4 Br 0.2500 0.1250 0.3750  0.00
5 Br 0.8750 0.1250 0.2500  0.00
6 Br 0.3750 0.6250 0.2500  0.00
7 Br 0.6250 0.3750 0.7500  0.00
8 Br 0.1250 0.8750 0.7500  0.00
9 Br 0.7500 0.8750 0.6250  0.00
10 Br 0.6250 0.2500 0.3750  0.00
11 Br 0.1250 0.2500 0.8750  0.00
12 Br 0.2500 0.6250 0.8750  0.00
13 Se 0.1250 0.3750 0.2500  0.18
14 Se 0.0000 0.5000 0.0000  0.09
15 Se 0.0000 0.0000 0.0000  0.09
16 Se 0.3750 0.2500 0.1250  0.18
17 Se 0.5000 0.0000 0.5000  0.09
18 Se 0.5000 0.5000 0.0000  0.09
19 Se 0.1250 0.7500 0.3750  0.18
20 Se 0.7500 0.1250 0.8750  0.18
21 Se 0.7500 0.6250 0.3750  0.18
22 Se 0.3750 0.1250 0.7500  0.18
23 Se 0.6250 0.8750 0.2500  0.18
24 Se 0.5000 0.5000 0.5000  0.09
25 Se 0.5000 0.0000 0.0000  0.09
26 Se 0.0000 0.0000 0.5000  0.09
27 Se 0.2500 0.3750 0.6250  0.18
28 Se 0.2500 0.8750 0.1250  0.18
29 Se 0.0000 0.5000 0.5000  0.09
30 Se 0.8750 0.2500 0.6250  0.18
31 Se 0.6250 0.7500 0.8750  0.18
32 Se 0.8750 0.6250 0.7500  0.18
33 Cs 0.7153 0.1257 0.0414  0.01
34 Cs 0.3261 0.5414 0.4157  0.01
35 Cs 0.9586 0.3743 0.2847  0.01
36 Cs 0.5414 0.2153 0.1257  0.01
37 Cs 0.5896 0.7153 0.6739  0.01
38 Cs 0.9586 0.5843 0.1739  0.01
39 Cs 0.3261 0.7847 0.4104  0.01
40 Cs 0.0843 0.9104 0.1257  0.01
41 Cs 0.5843 0.9586 0.6739  0.01
42 Cs 0.7153 0.5896 0.1739  0.01
43 Cs 0.7847 0.4586 0.3743  0.01
44 Cs 0.8261 0.9157 0.0414  0.01
45 Cs 0.1257 0.7153 0.5414  0.01
46 Cs 0.3743 0.4157 0.0896  0.01
47 Cs 0.0896 0.9157 0.3743  0.01
48 Cs 0.4104 0.1257 0.5843  0.01
49 Cs 0.0896 0.1739 0.2153  0.01
50 Cs 0.4586 0.6739 0.0843  0.01
51 Cs 0.8261 0.9104 0.2847  0.01
52 Cs 0.1257 0.4104 0.0843  0.01
53 Cs 0.3743 0.9586 0.7847  0.01
54 Cs 0.5843 0.6257 0.4104  0.01
55 Cs 0.9157 0.8261 0.5414  0.01
56 Cs 0.7847 0.3261 0.9104  0.01
57 Cs 0.4157 0.3743 0.5896  0.01
58 Cs 0.0843 0.1739 0.4586  0.01
59 Cs 0.2153 0.6739 0.0896  0.01
60 Cs 0.1739 0.0896 0.7153  0.01
61 Cs 0.6257 0.0414 0.2153  0.01
62 Cs 0.8743 0.5896 0.9157  0.01
63 Cs 0.5414 0.3261 0.9157  0.01
64 Cs 0.5896 0.8743 0.4157  0.01
65 Cs 0.9104 0.8261 0.7847  0.01
66 Cs 0.9104 0.0843 0.6257  0.01
67 Cs 0.8743 0.2847 0.4586  0.01
68 Cs 0.1739 0.0843 0.9586  0.01
69 Cs 0.6257 0.5843 0.9104  0.01
70 Cs 0.4157 0.0414 0.3261  0.01
71 Cs 0.2847 0.4104 0.8261  0.01
72 Cs 0.2153 0.5414 0.6257  0.01
73 Cs 0.9157 0.0896 0.8743  0.01
74 Cs 0.6739 0.2153 0.5896  0.01
75 Cs 0.4586 0.7847 0.8743  0.01
76 Cs 0.0414 0.4157 0.8261  0.01
77 Cs 0.4104 0.2847 0.3261  0.01
78 Cs 0.0414 0.6257 0.7153  0.01
79 Cs 0.6739 0.4586 0.5843  0.01
80 Cs 0.2847 0.8743 0.9586  0.01

Summary:
Density in g/cm³: 3.08
Raw formation energy in eV/atom: -1.1299

Entry 6:
CsSe2Br | GGA-PBE | relaxed

a = 7.0116 Å, b = 7.0116 Å, c = 7.0116 Å
α = 43.28°, β = 43.28°, γ = 43.28°
Atoms (fractional coordinates):
1 Cs 0.0000 0.0000 0.0000
2 Se 0.8200 0.8200 0.8200
3 Se 0.1800 0.1800 0.1800
4 Br 0.5000 0.5000 0.5000

Summary:
Density in g/cm³: 4.19
Raw formation energy in eV/atom: -0.2551
E above lowest polymorph in eV/atom: 0.580

Entry 7:
Cs2SeBr5 | GGA-PBE | relaxed

a = 7.7665 Å, b = 7.7665 Å, c = 7.7665 Å
α = 93.03°, β = 118.27°, γ = 118.27°
Site moments in Bohr magnetons follow the coordinates.
Atoms (fractional coordinates):
1 Cs 0.5000 0.2569 0.7569  0.00
2 Cs 0.5000 0.7569 0.2569  0.00
3 Se 0.0000 0.9980 0.9980  0.34
4 Br 0.5387 0.7793 0.7793  0.01
5 Br 0.0000 0.2405 0.7793  0.01
6 Br 0.0000 0.7793 0.2405  0.01
7 Br 0.4613 0.2405 0.2405  0.01
8 Br 0.0000 0.7265 0.7265  0.28

Summary:
Density in g/cm³: 3.64
Raw formation energy in eV/atom: -0.9548

Entry 8:
Cs6SeBr4 | GGA-PBE | relaxed

a = 10.3808 Å, b = 10.3808 Å, c = 10.3808 Å
α = 90.22°, β = 90.22°, γ = 89.78°
Site moments in Bohr magnetons follow the coordinates.
Atoms (fractional coordinates):
1 Cs 0.6907 0.0549 0.0743  0.00
2 Cs 0.0743 0.3093 0.0549  0.00
3 Cs 0.5743 0.4451 0.1907  0.00
4 Cs 0.9451 0.0743 0.6907  0.00
5 Cs 0.5549 0.1907 0.5743  0.00
6 Cs 0.1907 0.4257 0.4451  0.00
7 Cs 0.8093 0.5743 0.5549  0.00
8 Cs 0.4451 0.8093 0.4257  0.00
9 Cs 0.0549 0.9257 0.3093  0.00
10 Cs 0.4257 0.5549 0.8093  0.00
11 Cs 0.9257 0.6907 0.9451  0.00
12 Cs 0.3093 0.9451 0.9257  0.00
13 Se 0.5000 0.5000 0.5000  0.09
14 Se 0.0000 0.0000 0.0000  0.09
15 Br 0.3722 0.1278 0.2500  0.00
16 Br 0.8722 0.2500 0.3722  0.00
17 Br 0.2500 0.6278 0.1278  0.00
18 Br 0.2500 0.2500 0.7500  0.00
19 Br 0.7500 0.7500 0.2500  0.00
20 Br 0.7500 0.3722 0.8722  0.00
21 Br 0.1278 0.7500 0.6278  0.00
22 Br 0.6278 0.8722 0.7500  0.00

Summary:
Density in g/cm³: 3.55
Raw formation energy in eV/atom: -1.5277

Entry 9:
Cs3SeBr | GGA-PBE | relaxed

a = 6.8756 Å, b = 6.8756 Å, c = 6.8756 Å
α = 90.00°, β = 90.00°, γ = 90.00°
Atoms (fractional coordinates):
1 Cs 0.0000 0.5000 0.0000
2 Cs 0.0000 0.0000 0.5000
3 Cs 0.5000 0.0000 0.0000
4 Se 0.0000 0.0000 0.0000
5 Br 0.5000 0.5000 0.5000

Summary:
Density in g/cm³: 2.85
Raw formation energy in eV/atom: -1.1802
E above lowest polymorph in eV/atom: 0.118

Entry 10:
Cs3Se5Br12 | GGA-PBE | relaxed

a = 16.5303 Å, b = 16.5303 Å, c = 16.5303 Å
α = 109.47°, β = 109.47°, γ = 109.47°
Atoms (fractional coordinates):
1 Cs 0.7500 0.3750 0.1250
2 Cs 0.8750 0.7500 0.1250
3 Cs 0.3750 0.7500 0.6250
4 Cs 0.2500 0.1250 0.3750
5 Cs 0.8750 0.1250 0.2500
6 Cs 0.3750 0.6250 0.2500
7 Cs 0.6250 0.3750 0.7500
8 Cs 0.1250 0.8750 0.7500
9 Cs 0.7500 0.8750 0.6250
10 Cs 0.6250 0.2500 0.3750
11 Cs 0.1250 0.2500 0.8750
12 Cs 0.2500 0.6250 0.8750
13 Se 0.1250 0.3750 0.2500
14 Se 0.0000 0.5000 0.0000
15 Se 0.0000 0.0000 0.0000
16 Se 0.3750 0.2500 0.1250
17 Se 0.5000 0.0000 0.5000
18 Se 0.5000 0.5000 0.0000
19 Se 0.1250 0.7500 0.3750
20 Se 0.7500 0.1250 0.8750
21 Se 0.7500 0.6250 0.3750
22 Se 0.3750 0.1250 0.7500
23 Se 0.6250 0.8750 0.2500
24 Se 0.5000 0.5000 0.5000
25 Se 0.5000 0.0000 0.0000
26 Se 0.0000 0.0000 0.5000
27 Se 0.2500 0.3750 0.6250
28 Se 0.2500 0.8750 0.1250
29 Se 0.0000 0.5000 0.5000
30 Se 0.8750 0.2500 0.6250
31 Se 0.6250 0.7500 0.8750
32 Se 0.8750 0.6250 0.7500
33 Br 0.6651 0.0950 0.9814
34 Br 0.3162 0.4814 0.3864
35 Br 0.0186 0.4050 0.3349
36 Br 0.4814 0.1651 0.0950
37 Br 0.5701 0.6651 0.6838
38 Br 0.0186 0.6136 0.1838
39 Br 0.3162 0.8349 0.4299
40 Br 0.1136 0.9299 0.0950
41 Br 0.6136 0.0186 0.6838
42 Br 0.6651 0.5701 0.1838
43 Br 0.8349 0.5186 0.4050
44 Br 0.8162 0.8864 0.9814
45 Br 0.0950 0.6651 0.4814
46 Br 0.4050 0.3864 0.0701
47 Br 0.0701 0.8864 0.4050
48 Br 0.4299 0.0950 0.6136
49 Br 0.0701 0.1838 0.1651
50 Br 0.5186 0.6838 0.1136
51 Br 0.8162 0.9299 0.3349
52 Br 0.0950 0.4299 0.1136
53 Br 0.4050 0.0186 0.8349
54 Br 0.6136 0.5950 0.4299
55 Br 0.8864 0.8162 0.4814
56 Br 0.8349 0.3162 0.9299
57 Br 0.3864 0.4050 0.5701
58 Br 0.1136 0.1838 0.5186
59 Br 0.1651 0.6838 0.0701
60 Br 0.1838 0.0701 0.6651
61 Br 0.5950 0.9814 0.1651
62 Br 0.9050 0.5701 0.8864
63 Br 0.4814 0.3162 0.8864
64 Br 0.5701 0.9050 0.3864
65 Br 0.9299 0.8162 0.8349
66 Br 0.9299 0.1136 0.5950
67 Br 0.9050 0.3349 0.5186
68 Br 0.1838 0.1136 0.0186
69 Br 0.5950 0.6136 0.9299
70 Br 0.3864 0.9814 0.3162
71 Br 0.3349 0.4299 0.8162
72 Br 0.1651 0.4814 0.5950
73 Br 0.8864 0.0701 0.9050
74 Br 0.6838 0.1651 0.5701
75 Br 0.5186 0.8349 0.9050
76 Br 0.9814 0.3864 0.8162
77 Br 0.4299 0.3349 0.3162
78 Br 0.9814 0.5950 0.6651
79 Br 0.6838 0.5186 0.6136
80 Br 0.3349 0.9050 0.0186

Summary:
Density in g/cm³: 3.35
Raw formation energy in eV/atom: -0.4325

Entry 11:
Cs3SeBr | GGA-PBE | relaxed

a = 9.5180 Å, b = 10.9410 Å, c = 10.9410 Å
α = 71.30°, β = 91.31°, γ = 91.31°
Atoms (fractional coordinates):
1 Cs 0.5999 0.7961 0.9952
2 Cs 0.9001 0.0048 0.2039
3 Cs 0.4001 0.2039 0.0048
4 Cs 0.0999 0.9952 0.7961
5 Cs 0.8341 0.3805 0.0087
6 Cs 0.6659 0.9913 0.6195
7 Cs 0.1659 0.6195 0.9913
8 Cs 0.3341 0.0087 0.3805
9 Cs 0.5790 0.5855 0.6545
10 Cs 0.9210 0.3455 0.4145
11 Cs 0.4210 0.4145 0.3455
12 Cs 0.0790 0.6545 0.5855
13 Se 0.8557 0.7131 0.8061
14 Se 0.6443 0.1939 0.2869
15 Se 0.1443 0.2869 0.1939
16 Se 0.3557 0.8061 0.7131
17 Br 0.2500 0.8689 0.1311
18 Br 0.7500 0.1311 0.8689
19 Br 0.2500 0.3422 0.6578
20 Br 0.7500 0.6578 0.3422

Summary:
Density in g/cm³: 3.43
Raw formation energy in eV/atom: -1.2979
E above lowest polymorph in eV/atom: 0.000

Entry 12:
CsSeBr2 | GGA-PBE | relaxed

a = 5.8801 Å, b = 5.8801 Å, c = 5.8801 Å
α = 60.00°, β = 60.00°, γ = 60.00°
Site moments in Bohr magnetons follow the coordinates.
Atoms (fractional coordinates):
1 Cs 0.5000 0.5000 0.5000  0.01
2 Se 0.0000 0.0000 0.0000  1.32
3 Br 0.2500 0.2500 0.2500  0.34
4 Br 0.7500 0.7500 0.7500  0.34

Summary:
Density in g/cm³: 4.29
Raw formation energy in eV/atom: -0.3761
E above lowest polymorph in eV/atom: 0.235